# 1
Computed, not measured: a relaxed Pr2DyRe crystal at the PBE level of DFT. Values from VASP.

```
&SYSTEM
  ibrav = 0, nat = 12, ntyp = 3
/
ATOMIC_SPECIES
Pr 140.91 Pr.upf
Dy 162.50 Dy.upf
Re 186.21 Re.upf
ATOMIC_POSITIONS crystal
Pr 0.000 0.000 0.234
Pr 0.000 0.000 0.766
Pr 0.333 0.667 0.433
Pr 0.333 0.667 0.901
Pr 0.667 0.333 0.099
Pr 0.667 0.333 0.567
Dy 0.000 0.000 0.000
Dy 0.333 0.667 0.667
Dy 0.667 0.333 0.333
Re 0.000 0.000 0.500
Re 0.333 0.667 0.167
Re 0.667 0.333 0.833
CELL_PARAMETERS angstrom
3.572 0.000 0.000
-1.786 3.093 0.000
0.000 0.000 31.405
```

Calculated values
formation energy from the elements: 11.4 kcal/mol of atoms
SG: No. 166

# 2
Computed, not measured: a relaxed TaTcP2 crystal at the PBE level of DFT. Values from VASP.

```
&SYSTEM
  ibrav = 0, nat = 8, ntyp = 3
/
ATOMIC_SPECIES
Ta 180.95 Ta.upf
Tc 98.00 Tc.upf
P 30.97 P.upf
ATOMIC_POSITIONS crystal
Ta 0.000 0.000 0.000
Ta 0.500 0.500 0.500
Tc 0.000 0.500 0.750
Tc 0.500 0.000 0.250
P 0.000 0.000 0.587
P 0.000 0.500 0.327
P 0.500 0.000 0.827
P 0.500 0.500 0.087
CELL_PARAMETERS angstrom
3.236 0.000 0.000
0.000 3.314 0.000
0.000 0.000 11.157
```

Calculated values
offset from the most stable computed form: 0.0 meV per atom
formation energy from the elements: -15.2 kcal/mol of atoms
SG: No. 44

# 3
Computed, not measured: a relaxed AlCdTe2 crystal at the PBE level of DFT. Values from VASP.

```
&SYSTEM
  ibrav = 0, nat = 12, ntyp = 3
/
ATOMIC_SPECIES
Al 26.98 Al.upf
Cd 112.41 Cd.upf
Te 127.60 Te.upf
ATOMIC_POSITIONS crystal
Al 0.000 0.000 0.000
Al 0.333 0.667 0.667
Al 0.667 0.333 0.333
Cd 0.000 0.000 0.500
Cd 0.333 0.667 0.167
Cd 0.667 0.333 0.833
Te 0.000 0.000 0.258
Te 0.000 0.000 0.742
Te 0.333 0.667 0.408
Te 0.333 0.667 0.925
Te 0.667 0.333 0.075
Te 0.667 0.333 0.592
CELL_PARAMETERS angstrom
4.177 0.000 0.000
-2.088 3.617 0.000
0.000 0.000 21.239
```

Calculated values
offset from the most stable computed form: 0.0 meV per atom
SG: No. 166
uncorrected formation energy: -300.2 meV/atom

# 4
Computed, not measured: a relaxed NbSiNi14 crystal at the PBE level of DFT. Values from VASP.

```
&SYSTEM
  ibrav = 0, nat = 16, ntyp = 3
/
ATOMIC_SPECIES
Nb 92.91 Nb.upf
Si 28.09 Si.upf
Ni 58.69 Ni.upf
ATOMIC_POSITIONS crystal
Nb 0.000 0.000 0.000
Si 0.500 0.500 0.000
Ni 0.000 0.000 0.500
Ni 0.000 0.500 0.000
Ni 0.000 0.500 0.500
Ni 0.255 0.255 0.252
Ni 0.255 0.255 0.748
Ni 0.255 0.745 0.252
Ni 0.255 0.745 0.748
Ni 0.500 0.000 0.000
Ni 0.500 0.000 0.500
Ni 0.500 0.500 0.500
Ni 0.745 0.255 0.252
Ni 0.745 0.255 0.748
Ni 0.745 0.745 0.252
Ni 0.745 0.745 0.748
CELL_PARAMETERS angstrom
5.061 0.000 0.000
0.000 5.061 0.000
0.000 0.000 7.035
```

Calculated values
SG: No. 123
uncorrected formation energy: -142.3 meV/atom

| no. | size of the total moment (μB/cell) |
| --- | --- |
| 1 | 0.001 |
| 2 | 0.927 |
| 3 | 0.000 |
| 4 | 3.831 |